Material: ScPaGa2
Method: DFT, PBE
State: relaxed

extended XYZ file:
```
4
Lattice="1.6088 0.9288 9.4334 -1.6088 0.9288 9.4334 0.0000 -1.8576 9.4334" Properties=species:S:1:pos:R:3 pbc="T T T"
Sc 0.0000 0.0000 0.0000
Pa 0.0000 0.0000 14.1501
Ga 0.0000 0.0000 7.2245
Ga 0.0000 0.0000 21.0758
```

Computed properties:
Total moment = 0.0 μB/f.u.
ΔE to the lowest computed polymorph = 0.138 eV per atom
Total DFT energy (no corrections) = -5.757 eV/atom
Mass density = 8.2 Mg/m³
Energy of formation = -287 meV/atom
Space-group type = R-3m (166)